Below is a geometry-optimized IrRuS2 structure, with properties calculated at the PBE-GGA level. Values from VASP.

Summary:
For the volume, the calculation gives 55.31 Å³/f.u. For the final energy, the calculation gives -24.67 eV per cell. The magnetization is 0.00 μB per atom. Its space group is Fm-3m. As for the crystal system: cubic. For the formation energy (no corrections), the calculation gives 1.72 eV per formula unit. For the density of states at the Fermi level, the calculation gives 5.3 states/eV/f.u.

Geometry as Quantum ESPRESSO input:
```
&SYSTEM
  ibrav = 0, nat = 4, ntyp = 3
/
ATOMIC_SPECIES
S 32.06 S.upf
Ir 192.22 Ir.upf
Ru 101.07 Ru.upf
CELL_PARAMETERS angstrom
-2.998 0.129 3.047
-4.140 -0.136 -1.066
-2.318 -3.487 0.868
ATOMIC_POSITIONS angstrom
S -2.364 -0.874 0.712
Ir -4.728 -1.747 1.425
Ru 0.000 0.000 0.000
S -7.092 -2.621 2.137
```